1.
Density functional theory data (PBE with a Hubbard U) for an optimized crystal structure of CaMnSi4O10.

- electronic total energy (eV/atom) = -7.757
- theoretical density (g/cm3) = 2.80

Cell lengths 7.538, 7.538, 15.356 Å; angles 90.00, 90.00, 90.00 degrees
Space group P4/ncc (No. 130, origin choice 2)
Unique sites:
Ca: 0.250 0.750 0.000 (multiplicity 4)
Mn: 0.250 0.250 0.075 (multiplicity 4)
Si: 0.002 0.083 0.352 (multiplicity 16)
O: 0.005 0.202 0.871 (multiplicity 16)
O: 0.007 0.644 0.418 (multiplicity 16)
O: 0.046 0.546 0.250 (multiplicity 8)

2.
Density functional theory data (PBE with a Hubbard U) for an optimized crystal structure of CaMnSiO4.

- electronic total energy (eV/atom) = -7.622
- E above lowest polymorph (eV/atom) = 0.000
- theoretical density (g/cm3) = 3.36

Cell lengths 11.301, 6.575, 4.980 Å; angles 90.00, 90.00, 90.00 degrees
Space group Pnma (No. 62)
Unique sites:
Ca: 0.222 0.250 0.017 (multiplicity 4)
Mn: 0.000 0.000 0.500 (multiplicity 4)
Si: 0.088 0.750 0.083 (multiplicity 4)
O: 0.046 0.250 0.772 (multiplicity 4)
O: 0.085 0.750 0.754 (multiplicity 4)
O: 0.154 0.549 0.217 (multiplicity 8)

3.
Density functional theory data (PBE with a Hubbard U) for an optimized crystal structure of Ca2Mn2Si4O17.

- electronic total energy (eV/atom) = -6.810
- theoretical density (g/cm3) = 3.04

Cell lengths 8.840, 6.006, 11.958 Å; angles 90.00, 98.71, 90.00 degrees
Space group C2/m (No. 12)
Unique sites:
Ca: 0.209 0.000 0.272 (multiplicity 4)
Mn: 0.250 0.250 0.000 (multiplicity 4)
Si: 0.051 0.500 0.152 (multiplicity 4)
Si: 0.119 0.500 0.410 (multiplicity 4)
O: 0.000 0.500 0.500 (multiplicity 2)
O: 0.006 0.500 0.281 (multiplicity 4)
O: 0.076 0.000 0.753 (multiplicity 4)
O: 0.127 0.500 0.924 (multiplicity 4)
O: 0.129 0.000 0.941 (multiplicity 4)
O: 0.141 0.273 0.128 (multiplicity 8)
O: 0.214 0.268 0.408 (multiplicity 8)

4.
Density functional theory data (PBE with a Hubbard U) for an optimized crystal structure of Ca3Mn2Si3O12.

- electronic total energy (eV/atom) = -7.463
- theoretical density (g/cm3) = 3.67

Cell lengths 12.234, 12.234, 12.234 Å; angles 90.00, 90.00, 90.00 degrees
Space group Ia-3d (No. 230)
Unique sites:
Ca: 0.000 0.250 0.125 (multiplicity 24)
Mn: 0.000 0.000 0.000 (multiplicity 16)
Si: 0.000 0.250 0.375 (multiplicity 24)
O: 0.039 0.049 0.657 (multiplicity 96)

5.
Density functional theory data (PBE with a Hubbard U) for an optimized crystal structure of CaMn2Si4O12.

- electronic total energy (eV/atom) = -7.648
- theoretical density (g/cm3) = 3.36

Cell lengths 9.917, 9.012, 5.303 Å; angles 90.00, 108.76, 90.00 degrees
Space group C2 (No. 5)
Unique sites:
Ca: 0.000 0.000 0.000 (multiplicity 2)
Mn: 0.000 0.216 0.500 (multiplicity 2)
Mn: 0.000 0.418 0.000 (multiplicity 2)
Si: 0.210 0.714 0.021 (multiplicity 4)
Si: 0.211 0.897 0.530 (multiplicity 4)
O: 0.112 0.220 0.878 (multiplicity 4)
O: 0.113 0.386 0.371 (multiplicity 4)
O: 0.136 0.056 0.437 (multiplicity 4)
O: 0.150 0.823 0.756 (multiplicity 4)
O: 0.153 0.548 0.960 (multiplicity 4)
O: 0.155 0.801 0.245 (multiplicity 4)

6.
Density functional theory data (PBE with a Hubbard U) for an optimized crystal structure of CaMnSiO4.

- electronic total energy (eV/atom) = -7.566
- E above lowest polymorph (eV/atom) = 0.056
- theoretical density (g/cm3) = 3.46

Cell lengths 5.965, 9.154, 6.574 Å; angles 90.00, 90.00, 90.00 degrees
Space group Cmcm (No. 63)
Unique sites:
Ca: 0.000 0.000 0.000 (multiplicity 4)
Mn: 0.000 0.335 0.250 (multiplicity 4)
Si: 0.000 0.357 0.750 (multiplicity 4)
O: 0.000 0.255 0.545 (multiplicity 8)
O: 0.219 0.472 0.750 (multiplicity 8)